VASP calculation (PBE with a Hubbard U) on an optimized crystal structure of Rb2FeOF5.

Geometry as POSCAR:
```
Rb2FeOF5
1.0
4.1688 -4.6755 0.0000
4.1688 4.6755 0.0000
0.0000 0.0000 8.5738
Rb F O Fe
4 10 2 2
Cartesian
4.1688 2.2460 4.2869
4.1688 2.2460 0.0000
4.1688 -2.2460 4.2869
4.1688 -2.2460 0.0000
2.1101 -1.9216 6.4303
1.7664 0.0000 8.3245
6.2276 1.9216 2.1434
3.8799 0.0000 6.4303
6.2276 -1.9216 2.1434
4.4578 0.0000 2.1434
1.7664 0.0000 4.5361
6.5713 0.0000 0.2493
2.1101 1.9216 6.4303
6.5713 0.0000 4.0376
8.1083 0.0000 2.1434
0.2294 0.0000 6.4303
2.0342 0.0000 6.4303
6.3035 0.0000 2.1434
```

Results
The electronic total energy comes out at -4.51 eV/atom. The crystal system is orthorhombic. As for the space group: Cmcm.